Density functional theory data (PBE-GGA) for a relaxed Zr2Tl crystal.

abc: 8.415 5.358 12.732
angles: 90.00 100.41 90.00
Space group P2_1/m (No. 11)
Symmetry-distinct sites (fractional):
Zr1 0.044 0.250 0.320 (multiplicity 2)
Zr2 0.059 0.250 0.070 (multiplicity 2)
Zr3 0.059 0.250 0.825 (multiplicity 2)
Zr4 0.061 0.250 0.565 (multiplicity 2)
Zr5 0.256 0.750 0.347 (multiplicity 2)
Zr6 0.272 0.750 0.093 (multiplicity 2)
Zr7 0.392 0.250 0.481 (multiplicity 2)
Zr8 0.396 0.250 0.993 (multiplicity 2)
Tl1 0.274 0.750 0.589 (multiplicity 2)
Tl2 0.274 0.750 0.852 (multiplicity 2)
Tl3 0.369 0.250 0.236 (multiplicity 2)
Tl4 0.398 0.250 0.735 (multiplicity 2)

Total magnetization in μB/f.u.: 0.00

=====

Density functional theory data (PBE-GGA) for a relaxed AgSb2Te2 crystal.

abc: 4.0635 4.0635 19.8436
angles: 90.00 90.00 120.00
Space group P6_3/mmc (No. 194)
Symmetry-distinct sites (fractional):
Ag1 0.0000 0.0000 0.2500 (multiplicity 2)
Sb1 0.3333 0.6667 0.1605 (multiplicity 4)
Te1 0.3333 0.6667 0.5626 (multiplicity 4)

=====

Density functional theory data (PBE-GGA) for a relaxed Hf4MgGaC2 crystal.

abc: 3.2826 3.2826 14.8593
angles: 90.00 90.00 120.00
Space group P-6m2 (No. 187)
Symmetry-distinct sites (fractional):
Hf1 0.0000 0.0000 0.1534 (multiplicity 2)
Hf2 0.3333 0.6667 0.3206 (multiplicity 2)
Mg1 0.0000 0.0000 0.5000 (multiplicity 1)
Ga1 0.3333 0.6667 0.0000 (multiplicity 1)
C1 0.6667 0.3333 0.2371 (multiplicity 2)

Total magnetization in μB/f.u.: 0.00

=====

Density functional theory data (PBE-GGA) for a relaxed Nd2Pb crystal.

abc: 6.997 5.084 10.716
angles: 90.00 90.00 90.00
Space group Pnma (No. 62)
Symmetry-distinct sites (fractional):
Nd1 0.077 0.250 0.208 (multiplicity 4)
Nd2 0.168 0.250 0.550 (multiplicity 4)
Pb1 0.194 0.250 0.874 (multiplicity 4)

Total magnetization in μB/f.u.: 0.00

=====

Density functional theory data (PBE-GGA) for a relaxed Cu2Ag3 crystal.

abc: 14.299 3.957 5.619
angles: 90.00 102.53 90.00
Space group C2/m (No. 12)
Symmetry-distinct sites (fractional):
Cu1 0.102 0.000 0.300 (multiplicity 4)
Cu2 0.198 0.500 0.105 (multiplicity 4)
Ag1 0.000 0.500 0.000 (multiplicity 2)
Ag2 0.000 0.500 0.500 (multiplicity 2)
Ag3 0.106 0.000 0.815 (multiplicity 4)
Ag4 0.204 0.500 0.607 (multiplicity 4)

ΔH_f (0 K) in eV/atom: 0.093
Relative energy among the computed polymorphs in meV per atom: 61

=====

Density functional theory data (PBE-GGA) for a relaxed NdPaIn crystal.

abc: 7.343 7.343 7.343
angles: 90.00 90.00 90.00
Space group F-43m (No. 216)
Symmetry-distinct sites (fractional):
Nd1 0.000 0.000 0.000 (multiplicity 4)
Pa1 0.000 0.000 0.500 (multiplicity 4)
In1 0.250 0.250 0.250 (multiplicity 4)

Total magnetization in μB/f.u.: 1.58
Relative energy among the computed polymorphs in meV per atom: 0

=====

Density functional theory data (PBE-GGA) for a relaxed DySn3 crystal.

abc: 4.692 4.692 4.692
angles: 90.00 90.00 90.00
Space group Pm-3m (No. 221)
Symmetry-distinct sites (fractional):
Dy1 0.000 0.000 0.000 (multiplicity 1)
Sn1 0.000 0.500 0.500 (multiplicity 3)

Total magnetization in μB/f.u.: 0.00

=====

Density functional theory data (PBE-GGA) for a relaxed ErSnPO crystal.

abc: 5.395 5.395 5.235
angles: 90.00 90.00 90.00
Space group P4/nmm (No. 129, origin choice 2)
Symmetry-distinct sites (fractional):
Er1 0.250 0.750 0.000 (multiplicity 2)
Sn1 0.250 0.250 0.492 (multiplicity 2)
P1 0.250 0.250 0.988 (multiplicity 2)
O1 0.250 0.750 0.500 (multiplicity 2)

Total magnetization in μB/f.u.: 0.00
Relative energy among the computed polymorphs in meV per atom: 317

=====

Density functional theory data (PBE-GGA) for a relaxed ErZr crystal.

abc: 6.749 5.342 9.001
angles: 90.00 100.63 90.00
Space group P2_1/m (No. 11)
Symmetry-distinct sites (fractional):
Er1 0.142 0.250 0.074 (multiplicity 2)
Er2 0.302 0.250 0.712 (multiplicity 2)
Er3 0.357 0.750 0.939 (multiplicity 2)
Zr1 0.021 0.750 0.603 (multiplicity 2)
Zr2 0.201 0.750 0.300 (multiplicity 2)
Zr3 0.469 0.250 0.395 (multiplicity 2)

ΔH_f (0 K) in eV/atom: 0.041
Total magnetization in μB/f.u.: 0.00

=====

Density functional theory data (PBE-GGA) for a relaxed LiZr2Os crystal.

abc: 4.2911 4.2911 9.1893
angles: 90.00 90.00 120.00
Space group P6_3/mmc (No. 194)
Symmetry-distinct sites (fractional):
Li1 0.3333 0.6667 0.2500 (multiplicity 2)
Zr1 0.3333 0.6667 0.5950 (multiplicity 4)
Os1 0.0000 0.0000 0.2500 (multiplicity 2)

Total magnetization in μB/f.u.: 0.03
Relative energy among the computed polymorphs in meV per atom: 597

=====

Density functional theory data (PBE-GGA) for a relaxed NdHoNi crystal.

abc: 6.754 6.754 6.754
angles: 90.00 90.00 90.00
Space group F-43m (No. 216)
Symmetry-distinct sites (fractional):
Nd1 0.000 0.000 0.000 (multiplicity 4)
Ho1 0.000 0.000 0.500 (multiplicity 4)
Ni1 0.250 0.250 0.750 (multiplicity 4)

ΔH_f (0 K) in eV/atom: -0.103
Total magnetization in μB/f.u.: 0.00
Relative energy among the computed polymorphs in meV per atom: 0

=====

Density functional theory data (PBE-GGA) for a relaxed Ta4GaNiN2 crystal.

abc: 3.1184 3.1184 12.9964
angles: 90.00 90.00 120.00
Space group P-6m2 (No. 187)
Symmetry-distinct sites (fractional):
Ta1 0.0000 0.0000 0.1489 (multiplicity 2)
Ta2 0.3333 0.6667 0.3339 (multiplicity 2)
Ga1 0.0000 0.0000 0.5000 (multiplicity 1)
Ni1 0.3333 0.6667 0.0000 (multiplicity 1)
N1 0.6667 0.3333 0.2403 (multiplicity 2)

Total magnetization in μB/f.u.: 0.01

=====

Density functional theory data (PBE-GGA) for a relaxed Ba2TcPbSe6 crystal.

abc: 7.7447 7.7447 16.9284
angles: 90.00 90.00 120.00
Space group R3 (No. 146, hexagonal axes)
Symmetry-distinct sites (fractional):
Ba1 0.0000 0.0000 0.0000 (multiplicity 3)
Ba2 0.0000 0.0000 0.4957 (multiplicity 3)
Tc1 0.0000 0.0000 0.2659 (multiplicity 3)
Pb1 0.0000 0.0000 0.7672 (multiplicity 3)
Se1 0.0208 0.4359 0.9898 (multiplicity 9)
Se2 0.1111 0.7243 0.8235 (multiplicity 9)

Total magnetization in μB/f.u.: 1.01
Relative energy among the computed polymorphs in meV per atom: 0

=====

Density functional theory data (PBE-GGA) for a relaxed NbCd2Bi crystal.

abc: 7.131 7.131 7.131
angles: 90.00 90.00 90.00
Space group F-43m (No. 216)
Symmetry-distinct sites (fractional):
Nb1 0.000 0.000 0.000 (multiplicity 4)
Cd1 0.000 0.000 0.500 (multiplicity 4)
Cd2 0.250 0.250 0.250 (multiplicity 4)
Bi1 0.250 0.250 0.750 (multiplicity 4)

Total magnetization in μB/f.u.: 0.79

=====

Density functional theory data (PBE-GGA) for a relaxed PmNdS2Cl2 crystal.

abc: 4.864 4.864 6.782
angles: 90.00 90.00 90.00
Space group P4mm (No. 99)
Symmetry-distinct sites (fractional):
Pm1 0.000 0.000 0.000 (multiplicity 1)
Nd1 0.500 0.500 0.600 (multiplicity 1)
S1 0.000 0.500 0.802 (multiplicity 2)
Cl1 0.000 0.000 0.400 (multiplicity 1)
Cl2 0.500 0.500 0.199 (multiplicity 1)

Total magnetization in μB/f.u.: 0.00

=====

Density functional theory data (PBE-GGA) for a relaxed CsPuBi crystal.

abc: 8.036 8.036 8.036
angles: 90.00 90.00 90.00
Space group F-43m (No. 216)
Symmetry-distinct sites (fractional):
Cs1 0.000 0.000 0.000 (multiplicity 4)
Pu1 0.250 0.250 0.750 (multiplicity 4)
Bi1 0.250 0.250 0.250 (multiplicity 4)

Total magnetization in μB/f.u.: 6.01

=====

Density functional theory data (PBE-GGA) for a relaxed KNaThF6 crystal.

abc: 6.1397 6.1397 7.6030
angles: 90.00 90.00 120.00
Space group P-3 (No. 147)
Symmetry-distinct sites (fractional):
K1 0.3333 0.6667 0.1118 (multiplicity 2)
Na1 0.0000 0.0000 0.2603 (multiplicity 2)
Th1 0.3333 0.6667 0.6303 (multiplicity 2)
F1 0.0814 0.3846 0.3976 (multiplicity 6)
F2 0.1043 0.3768 0.8385 (multiplicity 6)

Total magnetization in μB/f.u.: 0.00

=====

no.,uncorrected energy (eV per atom)
1,-6.431
2,-3.368
3,-8.477
4,-4.869
5,-3.088
6,-5.213
7,-4.573
8,-5.877
9,-6.514
10,-7.279
11,-5.072
12,-9.635
13,-4.729
14,-3.470
15,-5.661
16,-5.780
17,-5.905